1.
Entry from Alexandria: a geometry-optimized Nb2V2W structure (GGA-PBE).

Cell and atoms, written as POSCAR:
```
Nb2V2W
1.0
-1.398 -2.868 -0.229
2.818 -1.626 3.161
-6.449 4.294 7.957
W V Nb
2 4 4
Cartesian
-4.433 1.649 6.427 W
-0.597 -1.849 4.463 W
-4.430 1.398 9.550 V
1.478 -0.965 3.067 V
-0.600 -1.598 1.340 V
-6.508 0.765 7.822 V
-1.437 0.201 6.266 Nb
-3.718 -0.600 7.888 Nb
-1.311 0.400 3.002 Nb
-3.593 -0.401 4.624 Nb
```

Properties
Formation energy from the elements, eV/atom: -0.002
Space-group type: Cmcm (63)
DOS at the Fermi energy, states/eV per cell: 11.93
Size of the total moment, μB/f.u.: 0.00
Distance to the lowest polymorph of the same formula, meV per atom: 0

***

2.
Entry from Alexandria: a geometry-optimized Nb6VW5 structure (GGA-PBE).

Cell and atoms, written as POSCAR:
```
Nb6VW5
1.0
4.400 0.019 -1.284
-0.889 5.689 -2.963
-0.082 0.417 7.903
Nb W V
6 5 1
Cartesian
0.334 2.507 1.182 Nb
1.532 4.282 -2.867 Nb
-0.111 5.357 -0.302 Nb
3.539 0.768 3.959 Nb
1.979 1.425 -1.379 Nb
3.094 3.618 2.475 Nb
-0.444 2.845 -1.481 W
2.754 1.092 1.272 W
2.313 3.944 -0.198 W
1.116 2.181 3.855 W
0.675 5.033 2.386 W
0.000 0.000 0.000 V
```

Properties
Formation energy from the elements, eV/atom: -0.032
Space-group type: Immm (71)
DOS at the Fermi energy, states/eV per cell: 13.23
Size of the total moment, μB/f.u.: 0.00

***

Question: Which of these has the lowest DOS at the Fermi energy?
Answer: Nb2V2W